A plane-wave DFT calculation with PBEsol was carried out for a relaxed structure of MnWSe2.

Structure (CIF):
```
data_MnWSe2
_chemical_formula_sum 'Mn1 W1 Se2'
_cell_length_a 3.2056
_cell_length_b 3.2056
_cell_length_c 6.8491
_cell_angle_alpha 90.00
_cell_angle_beta 90.00
_cell_angle_gamma 90.00
_symmetry_space_group_name_H-M 'P 4 m m'
_symmetry_Int_Tables_number 99
_symmetry_space_group_name_Hall 'P 4 -2'
loop_
_atom_site_label
_atom_site_fract_x
_atom_site_fract_y
_atom_site_fract_z
Mn1 0.0000 0.0000 0.0000
W1 0.5000 0.5000 0.7714
Se1 0.0000 0.0000 0.5792
Se2 0.5000 0.5000 0.1496
```

## Properties
ΔE_f (raw), meV/atom: -52
VASP energy, eV/atom: -7.87
V, Å³ per atom: 17.59
Energy above the lowest structure with this stoichiometry, eV per formula unit: 0.00